Record 1
# TlCr4In (PBE, optimized geometry)
data_TlCr4In
_symmetry_space_group_name_H-M 'F -4 3 m'
_symmetry_Int_Tables_number 216
_symmetry_space_group_name_Hall 'F -4 2 3'
_cell_length_a 7.130
_cell_length_b 7.130
_cell_length_c 7.130
_cell_angle_alpha 90.00
_cell_angle_beta 90.00
_cell_angle_gamma 90.00
loop_
_atom_site_label
_atom_site_fract_x
_atom_site_fract_y
_atom_site_fract_z
Tl1 0.000 0.000 0.000
Cr1 0.125 0.125 0.625
In1 0.250 0.250 0.250
# Formation enthalpy at 0 K: 3.59 eV/f.u.


Record 2
# Tm2PdC (PBE, optimized geometry)
data_Tm2PdC
_symmetry_space_group_name_H-M 'R -3 m'
_symmetry_Int_Tables_number 166
_symmetry_space_group_name_Hall '-R 3 2"'
_cell_length_a 3.5764
_cell_length_b 3.5764
_cell_length_c 20.4042
_cell_angle_alpha 90.00
_cell_angle_beta 90.00
_cell_angle_gamma 120.00
loop_
_atom_site_label
_atom_site_fract_x
_atom_site_fract_y
_atom_site_fract_z
Tm1 0.0000 0.0000 0.2321
Pd1 0.0000 0.0000 0.0000
C1 0.0000 0.0000 0.5000
# Formation enthalpy at 0 K: -2.17 eV/f.u.


Record 3
# ZnSbTe2As (PBE, optimized geometry)
data_ZnSbTe2As
_symmetry_space_group_name_H-M 'P 4/m m m'
_symmetry_Int_Tables_number 123
_symmetry_space_group_name_Hall '-P 4 2'
_cell_length_a 5.239
_cell_length_b 5.239
_cell_length_c 5.185
_cell_angle_alpha 90.00
_cell_angle_beta 90.00
_cell_angle_gamma 90.00
loop_
_atom_site_label
_atom_site_fract_x
_atom_site_fract_y
_atom_site_fract_z
Zn1 0.000 0.000 0.000
Sb1 0.000 0.000 0.500
Te1 0.000 0.500 0.000
As1 0.500 0.500 0.500
# Excess energy over the best structure of this formula in the dataset: 0.25 eV/f.u.
# Raw formation energy: 668 meV per atom


Record 4
# DyBIr2 (PBE, optimized geometry)
data_DyBIr2
_symmetry_space_group_name_H-M 'R -3 m'
_symmetry_Int_Tables_number 166
_symmetry_space_group_name_Hall '-R 3 2"'
_cell_length_a 3.4948
_cell_length_b 3.4948
_cell_length_c 18.6235
_cell_angle_alpha 90.00
_cell_angle_beta 90.00
_cell_angle_gamma 120.00
loop_
_atom_site_label
_atom_site_fract_x
_atom_site_fract_y
_atom_site_fract_z
Dy1 0.0000 0.0000 0.0000
B1 0.0000 0.0000 0.5000
Ir1 0.0000 0.0000 0.2172
# Formation enthalpy at 0 K: -0.94 eV/f.u.


Record 5
# Zn2PRu (PBE, optimized geometry)
data_Zn2PRu
_symmetry_space_group_name_H-M 'C 1 2/m 1'
_symmetry_Int_Tables_number 12
_cell_length_a 12.953
_cell_length_b 2.780
_cell_length_c 3.730
_cell_angle_alpha 90.00
_cell_angle_beta 106.65
_cell_angle_gamma 90.00
loop_
_symmetry_equiv_pos_as_xyz
'x,y,z'
'-x,-y,-z'
'-x,y,-z'
'x,-y,z'
'x+1/2,y+1/2,z'
'-x+1/2,-y+1/2,-z'
'-x+1/2,y+1/2,-z'
'x+1/2,-y+1/2,z'
loop_
_atom_site_label
_atom_site_fract_x
_atom_site_fract_y
_atom_site_fract_z
Zn1 0.192 0.000 0.192
P1 0.000 0.000 0.500
Ru1 0.000 0.500 0.000
# Formation enthalpy at 0 K: -0.03 eV/f.u.


Record 6
# Tb2HoScTl2 (PBE, optimized geometry)
data_Tb2HoScTl2
_symmetry_space_group_name_H-M 'P m c 21'
_symmetry_Int_Tables_number 26
_cell_length_a 4.958
_cell_length_b 9.796
_cell_length_c 6.856
_cell_angle_alpha 90.00
_cell_angle_beta 90.00
_cell_angle_gamma 90.00
loop_
_symmetry_equiv_pos_as_xyz
'x,y,z'
'-x,-y,z+1/2'
'-x,y,z'
'x,-y,z+1/2'
loop_
_atom_site_label
_atom_site_fract_x
_atom_site_fract_y
_atom_site_fract_z
Tb1 0.000 0.047 0.000
Tb2 0.500 0.190 0.285
Ho1 0.500 0.454 0.900
Sc1 0.000 0.307 0.612
Tl1 0.000 0.382 0.171
Tl2 0.500 0.140 0.741
# Formation enthalpy at 0 K: -1.56 eV/f.u.


Record 7
# Ho2PuIn3Te6 (PBE, optimized geometry)
data_Ho2PuIn3Te6
_symmetry_space_group_name_H-M 'C 1 2/m 1'
_symmetry_Int_Tables_number 12
_cell_length_a 7.669
_cell_length_b 13.286
_cell_length_c 8.450
_cell_angle_alpha 90.00
_cell_angle_beta 107.59
_cell_angle_gamma 90.00
loop_
_symmetry_equiv_pos_as_xyz
'x,y,z'
'-x,-y,-z'
'-x,y,-z'
'x,-y,z'
'x+1/2,y+1/2,z'
'-x+1/2,-y+1/2,-z'
'-x+1/2,y+1/2,-z'
'x+1/2,-y+1/2,z'
loop_
_atom_site_label
_atom_site_fract_x
_atom_site_fract_y
_atom_site_fract_z
Ho1 0.000 0.167 0.000
Pu1 0.000 0.500 0.000
In1 0.000 0.000 0.500
In2 0.000 0.334 0.500
Te1 0.234 0.000 0.219
Te2 0.243 0.330 0.220
# Raw formation energy: -867 meV per atom


Record 8
# CsNaHfTa2 (PBE, optimized geometry)
data_CsNaHfTa2
_symmetry_space_group_name_H-M 'P 4/m m m'
_symmetry_Int_Tables_number 123
_symmetry_space_group_name_Hall '-P 4 2'
_cell_length_a 5.088
_cell_length_b 5.088
_cell_length_c 5.131
_cell_angle_alpha 90.00
_cell_angle_beta 90.00
_cell_angle_gamma 90.00
loop_
_atom_site_label
_atom_site_fract_x
_atom_site_fract_y
_atom_site_fract_z
Cs1 0.000 0.000 0.000
Na1 0.000 0.000 0.500
Hf1 0.500 0.500 0.000
Ta1 0.000 0.500 0.500
# Formation enthalpy at 0 K: 13.12 eV/f.u.


Record 9
# Y12InPd5 (PBE, optimized geometry)
data_Y12InPd5
_symmetry_space_group_name_H-M 'I m m m'
_symmetry_Int_Tables_number 71
_symmetry_space_group_name_Hall '-I 2 2'
_cell_length_a 9.536
_cell_length_b 9.724
_cell_length_c 10.315
_cell_angle_alpha 90.00
_cell_angle_beta 90.00
_cell_angle_gamma 90.00
loop_
_atom_site_label
_atom_site_fract_x
_atom_site_fract_y
_atom_site_fract_z
Y1 0.000 0.190 0.227
Y2 0.201 0.500 0.174
Y3 0.213 0.319 0.500
In1 0.000 0.000 0.500
Pd1 0.000 0.000 0.000
Pd2 0.000 0.349 0.000
Pd3 0.000 0.500 0.367
# Formation enthalpy at 0 K: -10.54 eV/f.u.


Record 10
# ScFeTc2 (PBE, optimized geometry)
data_ScFeTc2
_symmetry_space_group_name_H-M 'P 4 m m'
_symmetry_Int_Tables_number 99
_cell_length_a 2.754
_cell_length_b 2.754
_cell_length_c 7.847
_cell_angle_alpha 90.00
_cell_angle_beta 90.00
_cell_angle_gamma 90.00
loop_
_symmetry_equiv_pos_as_xyz
'x,y,z'
'-y,x,z'
'-x,-y,z'
'y,-x,z'
'-x,y,z'
'y,x,z'
'x,-y,z'
'-y,-x,z'
loop_
_atom_site_label
_atom_site_fract_x
_atom_site_fract_y
_atom_site_fract_z
Sc1 0.000 0.000 0.000
Fe1 0.500 0.500 0.749
Tc1 0.000 0.000 0.553
Tc2 0.500 0.500 0.294
# Excess energy over the best structure of this formula in the dataset: 0.53 eV/f.u.
# Formation enthalpy at 0 K: 0.35 eV/f.u.


Record 11
# AcMgPd2 (PBE, optimized geometry)
data_AcMgPd2
_symmetry_space_group_name_H-M 'R -3 m'
_symmetry_Int_Tables_number 166
_symmetry_space_group_name_Hall '-R 3 2"'
_cell_length_a 4.5699
_cell_length_b 4.5699
_cell_length_c 15.5200
_cell_angle_alpha 90.00
_cell_angle_beta 90.00
_cell_angle_gamma 120.00
loop_
_atom_site_label
_atom_site_fract_x
_atom_site_fract_y
_atom_site_fract_z
Ac1 0.0000 0.0000 0.0000
Mg1 0.0000 0.0000 0.5000
Pd1 0.0000 0.0000 0.2101
# Formation enthalpy at 0 K: -3.06 eV/f.u.


Record 12
# AcPm2As (PBE, optimized geometry)
data_AcPm2As
_symmetry_space_group_name_H-M 'P 4/m m m'
_symmetry_Int_Tables_number 123
_symmetry_space_group_name_Hall '-P 4 2'
_cell_length_a 4.885
_cell_length_b 4.885
_cell_length_c 4.910
_cell_angle_alpha 90.00
_cell_angle_beta 90.00
_cell_angle_gamma 90.00
loop_
_atom_site_label
_atom_site_fract_x
_atom_site_fract_y
_atom_site_fract_z
Ac1 0.000 0.000 0.000
Pm1 0.000 0.500 0.500
As1 0.500 0.500 0.000
# Excess energy over the best structure of this formula in the dataset: 1.01 eV/f.u.
# Formation enthalpy at 0 K: -1.64 eV/f.u.


| no. | V (Å³/f.u.) |
| --- | --- |
| 1 | 91 |
| 2 | 75 |
| 3 | 142 |
| 4 | 66 |
| 5 | 64 |
| 6 | 166 |
| 7 | 410 |
| 8 | 133 |
| 9 | 478 |
| 10 | 60 |
| 11 | 94 |
| 12 | 117 |